The following is a GGA-PBE calculation of a geometry-optimized InSnPb structure, from Alexandria via LeMat-Bulk.

```
InSnPb
1.0
-2.702 -0.595 -2.085
1.175 -3.202 -0.609
-3.031 -0.562 6.967
Sn In Pb
1 1 1
direct
0.670 0.670 0.340
0.328 0.328 0.656
0.002 0.002 0.004
```

Values from the calculation:
distance to the lowest polymorph of the same formula	7	meV/atom
calculated formation energy	25	meV per atom
symmetry	I4mm
magnetization	0.0000	μB/atom
total energy	-3.458	eV/atom

***

The following is a GGA-PBE calculation of a geometry-optimized In5Sn2Pb5 structure, from Alexandria via LeMat-Bulk.

```
In5Sn2Pb5
1.0
-3.582 0.998 2.886
-0.855 -6.160 4.907
4.800 2.437 8.954
Sn In Pb
2 5 5
direct
0.083 0.584 0.249
0.917 0.416 0.751
0.746 0.252 0.256
0.831 0.834 0.503
0.169 0.166 0.497
0.254 0.748 0.744
0.000 0.000 0.000
0.332 0.332 0.005
0.668 0.668 0.995
0.584 0.085 0.747
0.416 0.915 0.253
0.500 0.500 0.500
```

Values from the calculation:
calculated formation energy	23	meV per atom
symmetry	C2/m
magnetization	0.0000	μB/atom
total energy	-3.330	eV/atom

***

The following is a GGA-PBE calculation of a geometry-optimized In7Sn4Pb structure, from Alexandria via LeMat-Bulk.

```
In7Sn4Pb
1.0
6.141 0.000 0.000
3.071 8.592 0.513
3.071 0.697 6.449
In Sn Pb
7 4 1
direct
0.746 0.001 0.507
0.255 0.658 0.833
0.997 0.340 0.665
0.500 0.000 0.000
0.254 0.999 0.493
0.745 0.342 0.167
0.003 0.660 0.335
0.502 0.330 0.665
0.498 0.670 0.335
0.252 0.331 0.165
0.748 0.669 0.835
0.000 0.000 0.000
```

Values from the calculation:
distance to the lowest polymorph of the same formula	21	meV/atom
calculated formation energy	58	meV per atom
symmetry	C2/m
magnetization	0.0000	μB/atom
total energy	-3.183	eV/atom

***

The following is a GGA-PBE calculation of a geometry-optimized In3Sn5Pb2 structure, from Alexandria via LeMat-Bulk.

```
In3Sn5Pb2
1.0
-1.587 5.182 2.964
-9.429 2.855 -3.604
-2.980 -2.762 9.671
Sn Pb In
10 4 6
direct
0.893 0.958 0.256
0.250 0.500 0.500
0.496 0.254 0.254
0.607 0.744 0.042
0.996 0.254 0.254
0.504 0.746 0.746
0.004 0.746 0.746
0.107 0.042 0.744
0.750 0.500 0.500
0.393 0.256 0.958
0.746 0.939 0.569
0.254 0.061 0.431
0.246 0.569 0.939
0.754 0.431 0.061
0.750 0.000 0.000
0.049 0.631 0.271
0.549 0.271 0.631
0.951 0.369 0.729
0.250 0.000 0.000
0.451 0.729 0.369
```

Values from the calculation:
calculated formation energy	101	meV per atom
symmetry	Ibam
magnetization	0.0000	μB/atom
total energy	-3.463	eV/atom

***

The following is a GGA-PBE calculation of a geometry-optimized In5Sn2Pb2 structure, from Alexandria via LeMat-Bulk.

```
In5Sn2Pb2
1.0
-1.667 -0.949 4.578
-1.176 -6.795 -1.837
7.953 1.209 0.456
Sn In Pb
2 5 2
direct
0.220 0.342 0.440
0.780 0.658 0.560
0.108 0.658 0.216
0.000 0.000 0.000
0.443 0.662 0.886
0.557 0.338 0.114
0.892 0.342 0.784
0.666 0.996 0.332
0.334 0.004 0.668
```

Values from the calculation:
calculated formation energy	21	meV per atom
symmetry	C2/m
magnetization	0.0000	μB/atom
total energy	-3.213	eV/atom

***

The following is a GGA-PBE calculation of a geometry-optimized In8SnPb4 structure, from Alexandria via LeMat-Bulk.

```
In8SnPb4
1.0
5.341 0.000 0.000
0.000 3.526 0.000
0.000 0.000 20.305
Pb In Sn
4 8 1
direct
0.500 0.500 0.405
0.500 0.000 0.876
0.000 0.000 0.050
0.000 0.500 0.632
0.000 0.000 0.484
0.000 0.500 0.194
0.000 0.500 0.916
0.500 0.500 0.730
0.500 0.500 0.098
0.500 0.000 0.570
0.000 0.000 0.775
0.500 0.000 0.242
0.000 0.000 0.331
```

Values from the calculation:
calculated formation energy	53	meV per atom
symmetry	Pmm2
magnetization	0.0000	μB/atom
total energy	-3.081	eV/atom

***

The following is a GGA-PBE calculation of a geometry-optimized In8Sn2Pb3 structure, from Alexandria via LeMat-Bulk.

```
In8Sn2Pb3
1.0
5.524 -0.423 -1.146
-0.186 9.032 -4.229
-1.883 -1.452 8.747
In Pb Sn
8 3 2
direct
0.335 0.554 0.108
0.331 0.073 0.660
0.274 0.185 0.370
0.669 0.927 0.340
0.726 0.815 0.630
0.669 0.412 0.340
0.331 0.588 0.660
0.665 0.446 0.892
0.000 0.212 0.000
0.000 0.788 0.000
0.500 0.000 0.000
0.054 0.686 0.373
0.946 0.314 0.627
```

Values from the calculation:
calculated formation energy	55	meV per atom
symmetry	C2/m
magnetization	0.0000	μB/atom
total energy	-3.102	eV/atom

***

The following is a GGA-PBE calculation of a geometry-optimized InSn4Pb2 structure, from Alexandria via LeMat-Bulk.

```
InSn4Pb2
1.0
-1.369 -2.083 -2.130
0.967 -4.076 3.365
-10.721 3.699 3.272
In Pb Sn
1 2 4
direct
0.000 0.500 0.000
0.500 0.207 0.415
0.500 0.793 0.585
0.500 0.932 0.865
0.000 0.639 0.279
0.000 0.361 0.721
0.500 0.068 0.135
```

Values from the calculation:
distance to the lowest polymorph of the same formula	0	meV/atom
calculated formation energy	71	meV per atom
symmetry	Cmmm
magnetization	0.0000	μB/atom
total energy	-3.667	eV/atom